Record 1
The following is a DFT calculation (PBEsol) of a geometry-optimized AlInAg2 structure. Values from VASP.

Computed properties:
V: 71.5 Å³/cell
total magnetization: 0.000 μB per atom
DFT total energy: -0.250 Ry per atom
E_form: 0.02 eV per atom
crystal system: tetragonal

The structure in Quantum ESPRESSO input format:
```
&SYSTEM
  ibrav = 0, nat = 4, ntyp = 3
/
ATOMIC_SPECIES
Al 26.98 Al.upf
In 114.82 In.upf
Ag 107.87 Ag.upf
CELL_PARAMETERS angstrom
-2.078 2.078 4.143
2.078 -2.078 4.143
2.078 2.078 -4.143
ATOMIC_POSITIONS crystal
Al 0.000 0.000 0.000
In 0.500 0.500 0.000
Ag 0.250 0.750 0.500
Ag 0.750 0.250 0.500
```


Record 2
The following is a DFT calculation (PBEsol) of a geometry-optimized TbHoHg2 structure. Values from VASP.

Computed properties:
V: 97.4 Å³/cell
total magnetization: 0.001 μB per atom
DFT total energy: -0.246 Ry per atom
E_form: -0.57 eV per atom
crystal system: cubic

The structure in Quantum ESPRESSO input format:
```
&SYSTEM
  ibrav = 0, nat = 4, ntyp = 3
/
ATOMIC_SPECIES
Tb 158.93 Tb.upf
Ho 164.93 Ho.upf
Hg 200.59 Hg.upf
CELL_PARAMETERS angstrom
0.000 3.652 3.652
3.652 0.000 3.652
3.652 3.652 0.000
ATOMIC_POSITIONS crystal
Tb 0.000 0.000 0.000
Ho 0.500 0.500 0.500
Hg 0.250 0.250 0.250
Hg 0.750 0.750 0.750
```


Record 3
The following is a DFT calculation (PBEsol) of a geometry-optimized LiCuSb2I structure. Values from VASP.

Computed properties:
V: 116.3 Å³/cell
total magnetization: 0.000 μB per atom
DFT total energy: -0.214 Ry per atom
crystal system: tetragonal

The structure in Quantum ESPRESSO input format:
```
&SYSTEM
  ibrav = 0, nat = 5, ntyp = 4
/
ATOMIC_SPECIES
Li 6.94 Li.upf
Cu 63.55 Cu.upf
Sb 121.76 Sb.upf
I 126.90 I.upf
CELL_PARAMETERS angstrom
5.155 0.000 0.000
0.000 5.155 0.000
0.000 0.000 4.378
ATOMIC_POSITIONS crystal
Li 0.000 0.000 0.000
Cu 0.000 0.000 0.500
Sb 0.000 0.500 0.000
Sb 0.500 0.000 0.000
I 0.500 0.500 0.500
```


Record 4
The following is a DFT calculation (PBEsol) of a geometry-optimized GaBr3 structure. Values from VASP.

Computed properties:
V: 528.7 Å³/cell
total magnetization: 0.012 μB per atom
DFT total energy: -0.221 Ry per atom
crystal system: monoclinic

The structure in Quantum ESPRESSO input format:
```
&SYSTEM
  ibrav = 0, nat = 16, ntyp = 2
/
ATOMIC_SPECIES
Ga 69.72 Ga.upf
Br 79.90 Br.upf
CELL_PARAMETERS angstrom
8.920 0.000 0.000
0.000 5.690 0.000
-3.326 0.000 10.416
ATOMIC_POSITIONS crystal
Ga 0.199 0.004 0.050
Ga 0.199 0.496 0.550
Ga 0.801 0.504 0.450
Ga 0.801 0.996 0.950
Br 0.002 0.722 0.385
Br 0.002 0.778 0.885
Br 0.326 0.249 0.451
Br 0.326 0.251 0.951
Br 0.331 0.737 0.712
Br 0.331 0.763 0.212
Br 0.669 0.237 0.788
Br 0.669 0.263 0.288
Br 0.674 0.749 0.049
Br 0.674 0.751 0.549
Br 0.998 0.222 0.115
Br 0.998 0.278 0.615
```


Record 5
The following is a DFT calculation (PBEsol) of a geometry-optimized Ti3Sn structure. Values from VASP.

Computed properties:
V: 137.9 Å³/cell
total magnetization: 0.000 μB per atom
DFT total energy: -0.562 Ry per atom
E_form: -0.34 eV per atom
crystal system: orthorhombic

The structure in Quantum ESPRESSO input format:
```
&SYSTEM
  ibrav = 0, nat = 8, ntyp = 2
/
ATOMIC_SPECIES
Ti 47.87 Ti.upf
Sn 118.71 Sn.upf
CELL_PARAMETERS angstrom
2.839 -5.187 0.000
2.839 5.187 0.000
0.000 0.000 4.682
ATOMIC_POSITIONS crystal
Ti 0.168 0.314 0.750
Ti 0.178 0.822 0.750
Ti 0.314 0.168 0.250
Ti 0.686 0.832 0.750
Ti 0.822 0.178 0.250
Ti 0.832 0.686 0.250
Sn 0.333 0.667 0.250
Sn 0.667 0.333 0.750
```


Record 6
The following is a DFT calculation (PBEsol) of a geometry-optimized Ta2FeSb structure. Values from VASP.

Computed properties:
V: 66.4 Å³/cell
total magnetization: 0.346 μB per atom
DFT total energy: -0.698 Ry per atom
crystal system: orthorhombic

The structure in Quantum ESPRESSO input format:
```
&SYSTEM
  ibrav = 0, nat = 4, ntyp = 3
/
ATOMIC_SPECIES
Ta 180.95 Ta.upf
Fe 55.84 Fe.upf
Sb 121.76 Sb.upf
CELL_PARAMETERS angstrom
3.009 0.000 0.000
0.000 3.956 0.000
0.000 0.000 5.576
ATOMIC_POSITIONS crystal
Ta 0.000 0.000 0.231
Ta 0.000 0.000 0.769
Fe 0.500 0.500 0.000
Sb 0.500 0.500 0.500
```


Record 7
The following is a DFT calculation (PBEsol) of a geometry-optimized Ba2CuHg structure. Values from VASP.

Computed properties:
V: 148.7 Å³/cell
total magnetization: 0.000 μB per atom
DFT total energy: -0.176 Ry per atom
E_form: -0.09 eV per atom
crystal system: monoclinic

The structure in Quantum ESPRESSO input format:
```
&SYSTEM
  ibrav = 0, nat = 4, ntyp = 3
/
ATOMIC_SPECIES
Ba 137.33 Ba.upf
Cu 63.55 Cu.upf
Hg 200.59 Hg.upf
CELL_PARAMETERS angstrom
4.004 -2.309 0.000
4.004 2.309 0.000
-2.658 0.000 8.039
ATOMIC_POSITIONS crystal
Ba 0.241 0.241 0.225
Ba 0.759 0.759 0.775
Cu 0.500 0.500 0.000
Hg 0.000 0.000 0.500
```


Record 8
The following is a DFT calculation (PBEsol) of a geometry-optimized TaMnRe structure. Values from VASP.

Computed properties:
V: 47.9 Å³/cell
total magnetization: 0.000 μB per atom
DFT total energy: -0.840 Ry per atom
E_form: 0.46 eV per atom
crystal system: cubic

The structure in Quantum ESPRESSO input format:
```
&SYSTEM
  ibrav = 0, nat = 3, ntyp = 3
/
ATOMIC_SPECIES
Ta 180.95 Ta.upf
Mn 54.94 Mn.upf
Re 186.21 Re.upf
CELL_PARAMETERS angstrom
0.000 2.883 2.883
2.883 0.000 2.883
2.883 2.883 0.000
ATOMIC_POSITIONS crystal
Ta 0.000 0.000 0.000
Mn 0.750 0.750 0.750
Re 0.500 0.500 0.500
```